1.
The following is a DFT calculation (PBE) of crystalline Tb6Y3Sc2 at its relaxed geometry.

Output
Fermi-level density of states ... 17.67 states/eV/f.u.
DFT formation energy ... 294 meV/atom
Theoretical density ... 6.12 g cm⁻³

Cell lengths 16.3215, 16.3215, 16.3215 Å; angles 163.38, 163.38, 23.58 degrees
Fractional positions:
Tb1 0.1150 0.6150 0.5000
Tb2 0.1914 0.1914 0.0000
Tb3 0.3850 0.8850 0.5000
Tb4 0.6150 0.1150 0.5000
Tb5 0.8086 0.8086 0.0000
Tb6 0.8850 0.3850 0.5000
Y1 0.2993 0.2993 0.0000
Y2 0.5000 0.5000 0.0000
Y3 0.7007 0.7007 0.0000
Sc1 0.0435 0.0435 0.0000
Sc2 0.9565 0.9565 0.0000

2.
The following is a DFT calculation (PBE) of crystalline TbLuAg2 at its relaxed geometry.

Output
Fermi-level density of states ... 2.44 states/eV/f.u.
DFT formation energy ... -327 meV/atom
Theoretical density ... 9.73 g cm⁻³

Cell lengths 3.5708, 3.5708, 7.3533 Å; angles 90.00, 90.00, 90.00 degrees
Fractional positions:
Tb1 0.0000 0.0000 0.0000
Lu1 0.0000 0.0000 0.5000
Ag1 0.5000 0.5000 0.2629
Ag2 0.5000 0.5000 0.7371

3.
The following is a DFT calculation (PBE) of crystalline CsTl3In2Cl6 at its relaxed geometry.

Output
Formation energy without anion corrections ... -1.09 eV per atom
Fermi-level density of states ... 0.00 states/eV/f.u.
Theoretical density ... 4.60 g cm⁻³

Cell lengths 10.4175, 10.4175, 9.3319 Å; angles 103.22, 103.22, 25.82 degrees
Fractional positions:
Cs1 0.0000 0.0000 0.0000
Tl1 0.0000 0.0000 0.5000
Tl2 0.3324 0.3324 0.1700
Tl3 0.6676 0.6676 0.8300
In1 0.3309 0.3309 0.6625
In2 0.6691 0.6691 0.3375
Cl1 0.1710 0.1710 0.5772
Cl2 0.1741 0.1741 0.0832
Cl3 0.4980 0.4980 0.7332
Cl4 0.5020 0.5020 0.2668
Cl5 0.8259 0.8259 0.9168
Cl6 0.8290 0.8290 0.4228

4.
The following is a DFT calculation (PBE) of crystalline Mn2H2Pd at its relaxed geometry.

Output
Fermi-level density of states ... 2.53 states/eV/f.u.
Theoretical density ... 8.32 g cm⁻³
Total DFT energy (no corrections) ... -5.7432 eV per atom

Cell lengths 5.7030, 5.7030, 2.6806 Å; angles 90.00, 90.00, 90.00 degrees
Fractional positions:
Mn1 0.1226 0.3774 0.0000
Mn2 0.3774 0.8774 0.0000
Mn3 0.6226 0.1226 0.0000
Mn4 0.8774 0.6226 0.0000
H1 0.1348 0.6348 0.5000
H2 0.3652 0.1348 0.5000
H3 0.6348 0.8652 0.5000
H4 0.8652 0.3652 0.5000
Pd1 0.0000 0.0000 0.5000
Pd2 0.5000 0.5000 0.5000